First-principles (PBE with a Hubbard U) data for a relaxed VP2OsO crystal, as listed in Alexandria.

Summary:
Magnetic moment = 2.32 μB/f.u.
Space-group type = P4/mmm
Distance to the lowest polymorph of the same formula = 230.8 meV/atom
Final energy = -31.658 eV per cell

```
VP2OsO
1.0
4.7184 0.0000 0.0000
0.0000 4.7184 0.0000
0.0000 0.0000 3.4851
V P Os O
1 2 1 1
Cartesian
0.0000 0.0000 0.0000
0.0000 2.3592 0.0000
2.3592 0.0000 0.0000
2.3592 2.3592 1.7425
0.0000 0.0000 1.7425
```

First-principles (PBE with a Hubbard U) data for a relaxed VP2OsO crystal, as listed in Alexandria.

Summary:
Magnetic moment = 3.64 μB/f.u.
Space-group type = P4/mmm
Distance to the lowest polymorph of the same formula = 0.0 meV/atom
Final energy = -32.812 eV per cell

```
VP2OsO
1.0
4.8107 0.0000 0.0000
0.0000 4.8107 0.0000
0.0000 0.0000 3.6559
V P Os O
1 2 1 1
Cartesian
0.0000 0.0000 0.0000
0.0000 2.4053 1.8280
2.4053 0.0000 1.8280
2.4053 2.4053 1.8280
2.4053 2.4053 0.0000
```

First-principles (PBE with a Hubbard U) data for a relaxed VPOsO2 crystal, as listed in Alexandria.

Summary:
Magnetic moment = 3.01 μB/f.u.
Space-group type = P4/mmm
Distance to the lowest polymorph of the same formula = 0.0 meV/atom
Final energy = -35.381 eV per cell

```
VPOsO2
1.0
3.7586 0.0000 0.0000
0.0000 3.7586 0.0000
0.0000 0.0000 5.3293
V P Os O
1 1 1 2
Cartesian
0.0000 0.0000 0.0000
1.8793 1.8793 0.0000
1.8793 1.8793 2.6647
0.0000 1.8793 2.6647
1.8793 0.0000 2.6647
```

First-principles (PBE with a Hubbard U) data for a relaxed VPOsO2 crystal, as listed in Alexandria.

Summary:
Magnetic moment = 2.79 μB/f.u.
Space-group type = P4/mmm
Distance to the lowest polymorph of the same formula = 149.6 meV/atom
Final energy = -34.633 eV per cell

```
VPOsO2
1.0
3.5819 0.0000 0.0000
0.0000 3.5819 0.0000
0.0000 0.0000 5.7654
V P Os O
1 1 1 2
Cartesian
0.0000 0.0000 0.0000
0.0000 0.0000 2.8827
1.7910 1.7910 2.8827
0.0000 1.7910 0.0000
1.7910 0.0000 0.0000
```

First-principles (PBE with a Hubbard U) data for a relaxed POsW2O crystal, as listed in Alexandria.

Summary:
Magnetic moment = 5.35 μB/f.u.
Space-group type = P4/mmm
Final energy = -28.482 eV per cell

```
POsW2O
1.0
5.1706 0.0000 0.0000
0.0000 5.1706 0.0000
0.0000 0.0000 4.3317
P Os W O
1 1 2 1
Cartesian
0.0000 0.0000 0.0000
0.0000 0.0000 2.1658
0.0000 2.5853 2.1658
2.5853 0.0000 2.1658
2.5853 2.5853 0.0000
```

First-principles (PBE with a Hubbard U) data for a relaxed P2OsWO crystal, as listed in Alexandria.

Summary:
Magnetic moment = 3.16 μB/f.u.
Space-group type = P4/mmm
Distance to the lowest polymorph of the same formula = 0.0 meV/atom
Final energy = -31.946 eV per cell

```
P2OsWO
1.0
4.8452 0.0000 0.0000
0.0000 4.8452 0.0000
0.0000 0.0000 3.6241
P Os W O
2 1 1 1
Cartesian
0.0000 2.4226 0.0000
2.4226 0.0000 0.0000
0.0000 0.0000 0.0000
2.4226 2.4226 1.8121
0.0000 0.0000 1.8121
```

First-principles (PBE with a Hubbard U) data for a relaxed P2OsWO crystal, as listed in Alexandria.

Summary:
Magnetic moment = 3.10 μB/f.u.
Space-group type = P4/mmm
Distance to the lowest polymorph of the same formula = 257.6 meV/atom
Final energy = -30.658 eV per cell

```
P2OsWO
1.0
4.8580 0.0000 0.0000
0.0000 4.8580 0.0000
0.0000 0.0000 3.7140
P Os W O
2 1 1 1
Cartesian
0.0000 2.4290 0.0000
2.4290 0.0000 0.0000
0.0000 0.0000 1.8570
2.4290 2.4290 0.0000
2.4290 2.4290 1.8570
```